Arrangement w

Density functional theory data (PBE) for a geometry-optimized LiTmMg5 structure.

Cell lengths 5.6010, 9.1274, 6.8887 Å; angles 90.00, 108.21, 90.00 degrees
With the nearest neighbours (Å) after each atom.
Space group C2/m (No. 12)
Unique sites:
Li 0.0000 0.0000 0.0000  6 Mg 2.74-2.80
Tm 0.0000 0.5000 0.5000  10 Mg 3.21-3.55
Mg 0.0000 0.5000 0.0000  2 Li 2.80, 4 Mg 2.96
Mg 0.1065 0.1897 0.7307  1 Li 2.74, 4 Mg 2.96-3.03

Values from the calculation:
Crystal system = monoclinic

=====

Arrangement x

Density functional theory data (PBE) for a geometry-optimized LiTmMg5 structure.

Cell lengths 4.6231, 4.6231, 8.0072 Å; angles 90.00, 90.00, 90.00 degrees
With the nearest neighbours (Å) after each atom.
Space group P4/mmm (No. 123)
Unique sites:
Li 0.0000 0.0000 0.0000  8 Mg 2.86
Tm 0.0000 0.0000 0.5000  12 Mg 3.27
Mg 0.0000 0.5000 0.2113  2 Li 2.86
Mg 0.5000 0.5000 0.5000  8 Mg 3.27, 4 Tm 3.27

Values from the calculation:
Crystal system = tetragonal

=====

Most stable structure: arrangement x